An optimized crystal structure of In2ReOs. Source: Alexandria via LeMat-Bulk, functional GGA-PBE.

Results
- ΔE to the lowest computed polymorph: 0.183 eV per atom
- Total moment: 0.00 μB/f.u.
- Energy of formation from the pure elements: 0.376 eV/atom
- E_tot: -6.912 eV/atom
- DOS(E_F): 6.5 states/eV per cell

a = 2.9793 Å, b = 2.9793 Å, c = 28.3423 Å
α = 90.00°, β = 90.00°, γ = 120.00°
With the nearest neighbours (Å) after each atom.
Space group R3m (No. 160, hexagonal axes)
Asymmetric unit:
In1 0.0000 0.0000 0.0000 (multiplicity 3)  3 Os 2.92, 9 In 2.98-3.22
In2 0.0000 0.0000 0.2372 (multiplicity 3)  3 Re 2.96, 9 In 2.98-3.22
Re1 0.0000 0.0000 0.4857 (multiplicity 3)  3 Os 2.61
Os1 0.0000 0.0000 0.7500 (multiplicity 3)  3 Re 2.61

An optimized crystal structure of InReOs2. Source: Alexandria via LeMat-Bulk, functional GGA-PBE.

Results
- Total moment: 0.00 μB/f.u.
- Energy of formation from the pure elements: 0.392 eV/atom
- E_tot: -9.019 eV/atom
- DOS(E_F): 9.5 states/eV per cell

a = 2.8334 Å, b = 2.8334 Å, c = 27.4255 Å
α = 90.00°, β = 90.00°, γ = 120.00°
With the nearest neighbours (Å) after each atom.
Space group R3m (No. 160, hexagonal axes)
Asymmetric unit:
In1 0.0000 0.0000 0.0000 (multiplicity 3)  6 In 2.83, 3 Os 2.92, 3 Re 2.95
Re1 0.0000 0.0000 0.7564 (multiplicity 3)  3 Os 2.68, 6 Re 2.83, 3 In 2.95
Os1 0.0000 0.0000 0.2452 (multiplicity 3)  9 Os 2.70-2.83, 3 In 2.92
Os2 0.0000 0.0000 0.5002 (multiplicity 3)  3 Re 2.68, 9 Os 2.70-2.83

An optimized crystal structure of In2ReOs. Source: Alexandria via LeMat-Bulk, functional GGA-PBE.

Results
- ΔE to the lowest computed polymorph: 0.535 eV per atom
- Total moment: 0.00 μB/f.u.
- Energy of formation from the pure elements: 0.729 eV/atom
- E_tot: -6.560 eV/atom
- DOS(E_F): 8.8 states/eV per cell

a = 4.1324 Å, b = 4.1324 Å, c = 8.1746 Å
α = 90.00°, β = 90.00°, γ = 90.00°
With the nearest neighbours (Å) after each atom.
Space group I-4m2 (No. 119)
Asymmetric unit:
In1 0.0000 0.0000 0.0000 (multiplicity 2)  4 In 2.91, 4 Os 2.91, 4 Re 2.92
In2 0.0000 0.5000 0.2500 (multiplicity 2)  4 In 2.91, 4 Re 2.91, 4 Os 2.92
Re1 0.0000 0.0000 0.5000 (multiplicity 2)  8 In 2.91-2.92, 4 Os 2.91
Os1 0.0000 0.5000 0.7500 (multiplicity 2)  8 In 2.91-2.92, 4 Re 2.91

Q: Look up the E_tot of the second one.
A: -9.019 eV/atom